19
Lattice="9.1087 0.2570 -1.6682 -2.0456 8.8798 -1.6682 0.1987 0.2570 9.2581" Properties=species:S:1:pos:R:3 comment="Ac6La12Mg PBE optimized geometry" sg="R-3m (166)" total_energy_ev_per_atom=-4.39 volume_a3_per_atom=40.07 magnetic_moment_mub_per_fu=0.00 ef_ev_per_atom=0.106 crystal_system=trigonal pbc="T T T"
La 3.0821 3.9885 6.3439
La 4.1796 5.4053 -0.4221
La 6.8346 3.9874 1.7441
Ac 6.1832 8.0062 2.5656
La 6.4139 2.7500 7.5856
La 2.1384 7.6186 1.7427
La 6.7972 0.2613 1.1654
Ac 1.0786 1.3876 3.3562
Ac 6.8017 5.6528 5.5405
La 0.8479 6.6438 -1.6638
La 0.4272 5.4064 4.1777
Mg 0.0000 0.0000 0.0000
Ac 3.5030 1.3933 0.3740
La -0.3791 2.4941 6.4237
Ac 0.4601 3.7410 0.3812
Ac 3.7587 8.0005 5.5478
La 0.4646 9.1325 4.7564
La 7.6409 6.8997 -0.5019
La 5.1233 1.7752 4.1791